VASP calculation (PBE) on an optimized crystal structure of NbCoW2.

As for the density of states at the Fermi level: 3.7 states/eV/f.u. The calculation puts the size of the total moment at 0.00 μB/f.u. For the energy above the most stable polymorph in this dataset, the calculation gives 38.8 kJ per mole of atoms. Its formation energy from the elements is 0.69 eV/atom.

The space group is I-42d (No. 122) and the conventional cell measures 7.178, 7.178 and 5.089 Å, with angles of 90.00, 90.00 and 90.00 degrees. The asymmetric unit holds Nb at (0.000, 0.000, 0.000), Co at (0.000, 0.000, 0.500) and W at (0.214, 0.250, 0.625).